1.
Computed, not measured: a geometry-optimized GaHg3Cl structure at the PBE level of DFT.

Formation energy (no corrections), kJ/mol of formula units: -62
Crystal system: cubic
Offset from the most stable computed form, eV per atom: 0.000

Geometry as extended XYZ:
```
5
Lattice="-1.8023 -4.9676 -0.4833 4.0068 -1.7464 3.0090 -2.9759 0.6571 4.3441" Properties=species:S:1:pos:R:3 pbc="T T T"
Hg -0.9011 -2.4838 -0.2416
Hg 2.0034 -0.8732 1.5045
Hg -1.4880 0.3285 2.1721
Cl -0.3857 -3.0285 3.4349
Ga 0.0000 0.0000 0.0000
```

=====

2.
Computed, not measured: a geometry-optimized Pm5PuTl8 structure at the PBE level of DFT.

Crystal system: tetragonal
Raw total energy, eV per atom: -4.118

Geometry as extended XYZ:
```
14
Lattice="-4.5652 5.4297 -4.0443 0.8820 -6.7157 -4.5607 -3.6373 -1.9753 7.0389" Properties=species:S:1:pos:R:3 pbc="T T T"
Pu -3.4283 -3.4819 1.9877
Pm -1.6089 1.1790 -2.0608
Pm -5.1541 -1.3829 -1.5050
Pm -4.6669 2.6817 -4.8593
Pm -4.1390 -1.5956 -5.7905
Pm -4.1013 1.7272 1.4973
Tl -1.8987 -5.3955 -0.1055
Tl -5.1925 -4.4807 -0.5096
Tl -5.6335 -1.1452 1.7423
Tl -0.0616 -4.3894 -3.6500
Tl -2.4987 -0.8767 0.3460
Tl -4.7930 1.8694 -1.6901
Tl -6.8882 3.2241 0.6813
Tl -2.3157 -1.8513 -3.0789
```